Computed, not measured: an optimized crystal structure of HfCoO2 at the PBE+U level of DFT.

```
data_HfCoO2
_cell_length_a 3.8250
_cell_length_b 3.8250
_cell_length_c 3.8250
_cell_angle_alpha 60.00
_cell_angle_beta 60.00
_cell_angle_gamma 60.00
_space_group_name_H-M_alt 'P 1'
_space_group_IT_number 1
loop_
_space_group_symop_operation_xyz
'x,y,z'
loop_
_atom_site_label
_atom_site_fract_x
_atom_site_fract_y
_atom_site_fract_z
Hf1 0.5000 0.5000 0.5000
O1 0.2500 0.2500 0.2500
O2 0.7500 0.7500 0.7500
Co1 0.0000 0.0000 0.0000
```

Results
**Volume**: 39.6 Å³/f.u.
**Energy above the lowest structure with this stoichiometry**: 63.9 kJ/mol of atoms
**DOS at the Fermi energy**: 5.032 states/eV per cell
**Crystal system**: cubic